(1)
Computed, not measured: a geometry-optimized CoGe2Se6 structure at the PBE level of DFT.

abc: 8.040 8.040 6.450
angles: 98.05 98.05 84.99
Fractional coordinates of all 18 atoms:
Co 0.092 0.908 0.750
Co 0.908 0.092 0.250
Ge 0.222 0.396 0.662
Ge 0.396 0.222 0.162
Ge 0.604 0.778 0.838
Ge 0.778 0.604 0.338
Se 0.012 0.181 0.615
Se 0.111 0.640 0.876
Se 0.181 0.012 0.115
Se 0.286 0.487 0.342
Se 0.360 0.889 0.624
Se 0.487 0.286 0.842
Se 0.513 0.714 0.158
Se 0.640 0.111 0.376
Se 0.714 0.513 0.658
Se 0.819 0.988 0.885
Se 0.889 0.360 0.124
Se 0.988 0.819 0.385

Properties
Fermi-level density of states, states/eV per cell: 6.53
Crystal system: monoclinic
SG: C2/c, No. 15
Total energy, eV per cell: -76.8

(2)
Computed, not measured: a geometry-optimized LaSm2ScTl2 structure at the PBE level of DFT.

abc: 4.778 9.302 8.293
angles: 90.00 90.00 90.00
Fractional coordinates of all 12 atoms:
La 0.000 0.075 0.000
La 0.000 0.925 0.500
Sm 0.000 0.325 0.379
Sm 0.000 0.675 0.879
Sm 0.500 0.417 0.047
Sm 0.500 0.583 0.547
Sc 0.500 0.191 0.662
Sc 0.500 0.809 0.162
Tl 0.000 0.361 0.757
Tl 0.000 0.639 0.257
Tl 0.500 0.116 0.290
Tl 0.500 0.884 0.790

Properties
Fermi-level density of states, states/eV per cell: 10.05
Crystal system: orthorhombic
SG: Pmc2_1, No. 26
Formation energy from the elements, eV/atom: -0.26

(3)
Computed, not measured: a geometry-optimized Tm2Zn2CdPd5 structure at the PBE level of DFT.

abc: 9.663 9.663 3.807
angles: 90.00 90.00 90.00
Fractional coordinates of all 20 atoms:
Tm 0.177 0.323 0.000
Tm 0.323 0.823 0.000
Tm 0.677 0.177 0.000
Tm 0.823 0.677 0.000
Zn 0.120 0.620 0.000
Zn 0.380 0.120 0.000
Zn 0.620 0.880 0.000
Zn 0.880 0.380 0.000
Cd 0.000 0.000 0.000
Cd 0.500 0.500 0.000
Pd 0.000 0.500 0.500
Pd 0.072 0.794 0.500
Pd 0.206 0.072 0.500
Pd 0.294 0.572 0.500
Pd 0.428 0.294 0.500
Pd 0.500 0.000 0.500
Pd 0.572 0.706 0.500
Pd 0.706 0.428 0.500
Pd 0.794 0.928 0.500
Pd 0.928 0.206 0.500

Properties
Fermi-level density of states, states/eV per cell: 5.85
Crystal system: tetragonal
SG: P4/mbm, No. 127
Formation energy from the elements, eV/atom: -0.69

(4)
Computed, not measured: a geometry-optimized ZrFeAu2 structure at the PBE level of DFT.

abc: 5.031 5.031 2.963
angles: 90.00 90.00 109.00
Fractional coordinates of all 4 atoms:
Zr 0.000 0.000 0.000
Fe 0.500 0.500 0.000
Au 0.000 0.500 0.500
Au 0.500 0.000 0.500

Properties
Fermi-level density of states, states/eV per cell: 3.21
Crystal system: orthorhombic
SG: Cmmm, No. 65
Formation energy from the elements, eV/atom: -0.08

(5)
Computed, not measured: a geometry-optimized S4BrO structure at the PBE level of DFT.

abc: 12.493 12.493 8.397
angles: 92.16 92.16 161.62
Fractional coordinates of all 12 atoms:
S 0.048 0.627 0.815
S 0.210 0.339 0.674
S 0.339 0.210 0.174
S 0.373 0.952 0.685
S 0.627 0.048 0.315
S 0.661 0.790 0.826
S 0.790 0.661 0.326
S 0.952 0.373 0.185
Br 0.387 0.613 0.250
Br 0.613 0.387 0.750
O 0.022 0.978 0.250
O 0.978 0.022 0.750

Properties
Fermi-level density of states, states/eV per cell: 6.43
Crystal system: monoclinic
SG: C2/c, No. 15
Total energy, eV per cell: -45.5

(6)
Computed, not measured: a geometry-optimized YTe2Pt structure at the PBE level of DFT.

abc: 9.304 9.304 9.304
angles: 24.52 24.52 24.52
Fractional coordinates of all 4 atoms:
Y 0.000 0.000 0.000
Te 0.112 0.112 0.112
Te 0.888 0.888 0.888
Pt 0.500 0.500 0.500

Properties
Fermi-level density of states, states/eV per cell: 3.35
Energy above the lowest structure with this stoichiometry, meV per atom: 655
Crystal system: trigonal
SG: R-3m, No. 166

(7)
Computed, not measured: a geometry-optimized Ce3Si8Ir3 structure at the PBE level of DFT.

abc: 7.887 7.887 7.887
angles: 149.37 103.81 84.31
Fractional coordinates of all 14 atoms:
Ce 0.000 0.000 0.000
Ce 0.303 0.303 0.000
Ce 0.697 0.697 0.000
Si 0.029 0.662 0.367
Si 0.159 0.874 0.285
Si 0.296 0.662 0.633
Si 0.410 0.126 0.285
Si 0.590 0.874 0.715
Si 0.704 0.338 0.367
Si 0.841 0.126 0.715
Si 0.971 0.338 0.633
Ir 0.288 0.500 0.788
Ir 0.500 0.000 0.500
Ir 0.712 0.500 0.212

Properties
Fermi-level density of states, states/eV per cell: 12.95
Crystal system: orthorhombic
SG: Immm, No. 71
Total energy, eV per cell: -96.1

(8)
Computed, not measured: a geometry-optimized Pm7SmTm12 structure at the PBE level of DFT.

abc: 9.687 9.687 9.687
angles: 109.47 109.47 109.47
Fractional coordinates of all 20 atoms:
Pm 0.000 0.000 0.500
Pm 0.000 0.500 0.000
Pm 0.000 0.500 0.500
Pm 0.500 0.000 0.000
Pm 0.500 0.000 0.500
Pm 0.500 0.500 0.000
Pm 0.500 0.500 0.500
Sm 0.000 0.000 0.000
Tm 0.000 0.249 0.751
Tm 0.000 0.751 0.249
Tm 0.249 0.000 0.751
Tm 0.249 0.249 0.499
Tm 0.249 0.499 0.249
Tm 0.249 0.751 0.000
Tm 0.499 0.249 0.249
Tm 0.501 0.751 0.751
Tm 0.751 0.000 0.249
Tm 0.751 0.249 0.000
Tm 0.751 0.501 0.751
Tm 0.751 0.751 0.501

Properties
Fermi-level density of states, states/eV per cell: 28.47
Energy above the lowest structure with this stoichiometry, meV per atom: 431
Crystal system: cubic
SG: Im-3m, No. 229
Formation energy from the elements, eV/atom: 0.66